A geometry-optimized MnPdPb2O6 structure, computed with PBE+U.

a b c (Å): 6.4007 5.8579 5.3736
angles (deg): 62.71 65.19 47.53
Each line ends with the local moment (μB).
Sites, in units of the cell vectors:
1 O 0.1038 0.8839 0.3558  -0.11
2 O 0.6268 0.1672 0.2225  -0.12
3 O 0.5286 0.7484 0.7109  -0.11
4 O 0.9984 0.4734 0.8809  -0.11
5 Pb 0.5923 0.5731 0.3043  -0.06
6 O 0.0053 0.4652 0.3840  -0.12
7 Pd 0.3162 0.3162 0.0510  -0.11
8 Pb 0.0401 0.0591 0.8372  -0.06
9 Mn 0.8162 0.8162 0.5481  3.21
10 O 0.6339 0.1591 0.7204  -0.11

**Total energy**: -5.902 eV/atom